(1)
PmPrSb2Pt2 | PBE | optimized geometry

a b c (Å): 9.552 4.775 14.326
angles (deg): 90.00 109.46 90.00
Space group Pm (No. 6)
Inequivalent atoms, fractional coordinates:
1 Pm 0.000 0.000 0.000 (multiplicity 1)
2 Pm 0.124 0.500 0.750 (multiplicity 1)
3 Pm 0.250 0.000 0.500 (multiplicity 1)
4 Pm 0.750 0.000 0.501 (multiplicity 1)
5 Pr 0.375 0.500 0.250 (multiplicity 1)
6 Pr 0.499 0.000 0.000 (multiplicity 1)
7 Pr 0.625 0.500 0.750 (multiplicity 1)
8 Pr 0.875 0.500 0.251 (multiplicity 1)
9 Sb 0.000 0.500 0.501 (multiplicity 1)
10 Sb 0.125 0.000 0.250 (multiplicity 1)
11 Sb 0.247 0.500 0.999 (multiplicity 1)
12 Sb 0.372 0.000 0.749 (multiplicity 1)
13 Sb 0.500 0.500 0.501 (multiplicity 1)
14 Sb 0.625 0.000 0.251 (multiplicity 1)
15 Sb 0.752 0.500 0.000 (multiplicity 1)
16 Sb 0.876 0.000 0.750 (multiplicity 1)
17 Pt 0.061 0.500 0.123 (multiplicity 1)
18 Pt 0.184 0.000 0.874 (multiplicity 1)
19 Pt 0.309 0.500 0.624 (multiplicity 1)
20 Pt 0.439 0.000 0.378 (multiplicity 1)
21 Pt 0.562 0.500 0.125 (multiplicity 1)
22 Pt 0.691 0.000 0.876 (multiplicity 1)
23 Pt 0.814 0.500 0.624 (multiplicity 1)
24 Pt 0.939 0.000 0.378 (multiplicity 1)

Summary:
VASP energy: -147.43 eV/cell
volume: 25.67 Å³ per atom

(2)
Ho3Fe | PBE | optimized geometry

a b c (Å): 4.655 4.655 4.655
angles (deg): 90.00 90.00 90.00
Space group Pm-3m (No. 221)
Inequivalent atoms, fractional coordinates:
1 Ho 0.000 0.000 0.500 (multiplicity 3)
2 Fe 0.500 0.500 0.500 (multiplicity 1)

Summary:
formation energy from the elements: 298 meV/atom
volume: 25.23 Å³ per atom